A geometry-optimized K2SrCrF8 structure. Source: Alexandria via LeMat-Bulk, functional PBE+U. Values from VASP.

Results
Uncorrected energy   -5.096 eV/atom

The structure in Quantum ESPRESSO input format:
```
&SYSTEM
  ibrav = 0, nat = 12, ntyp = 4
/
ATOMIC_SPECIES
F 19.00 F.upf
Cr 52.00 Cr.upf
K 39.10 K.upf
Sr 87.62 Sr.upf
ATOMIC_POSITIONS crystal
F 0.889 0.186 0.187
Cr 0.000 0.000 0.000
F 0.889 0.186 0.813
F 0.648 0.825 0.000
F 0.352 0.175 0.000
K 0.500 0.500 0.762
Sr 0.000 0.000 0.500
F 0.111 0.814 0.187
F 0.111 0.814 0.813
F 0.538 0.767 0.500
F 0.462 0.233 0.500
K 0.500 0.500 0.238
CELL_PARAMETERS angstrom
-4.291 -1.140 0.703
-0.152 -0.860 -6.012
2.058 -7.150 0.971
```